# 1
Compound: KLi2Co
Source: Alexandria
Functional: PBE
Structure: relaxed

Output
As for the formation energy: 286.7 kJ/mol of formula units. Its density of states at the Fermi level is 2.99 states/eV/cell. The value obtained for the magnetization is 1.527 μB per cell. Its offset from the most stable computed form is 219 meV/atom. The calculation puts the density at 2.00 g/cm³. The total energy comes out at -9.059 eV for the cell shown.

abc: 4.601 4.601 4.392
angles: 90.00 90.00 90.00
Fractional coordinates of all 4 atoms:
K 0.000 0.000 0.000
Li 0.000 0.500 0.500
Li 0.500 0.000 0.500
Co 0.500 0.500 0.000

---

# 2
Compound: Sm6Y3Ho
Source: Alexandria
Functional: PBE
Structure: relaxed

Output
As for the formation energy: 133.9 kJ/mol of formula units. Its density of states at the Fermi level is 27.46 states/eV/cell. The value obtained for the magnetization is 0.000 μB per cell. Its offset from the most stable computed form is 12 meV/atom. The calculation puts the density at 6.61 g/cm³. The total energy comes out at -101.794 eV for the cell shown.

abc: 11.163 11.163 6.223
angles: 90.00 90.00 120.15
Fractional coordinates of all 20 atoms:
Sm 0.043 0.957 0.500
Sm 0.051 0.472 0.060
Sm 0.279 0.721 0.784
Sm 0.289 0.378 0.887
Sm 0.378 0.289 0.387
Sm 0.472 0.051 0.560
Sm 0.528 0.949 0.060
Sm 0.622 0.711 0.887
Sm 0.711 0.622 0.387
Sm 0.721 0.279 0.284
Sm 0.949 0.528 0.560
Sm 0.957 0.043 0.000
Y 0.056 0.279 0.459
Y 0.279 0.056 0.959
Y 0.387 0.613 0.352
Y 0.613 0.387 0.852
Y 0.721 0.944 0.459
Y 0.944 0.721 0.959
Ho 0.202 0.798 0.300
Ho 0.798 0.202 0.800